## TbHo2ErN4 (PBE)

Data for a geometry-optimized TbHo2ErN4 structure.

abc: 5.986 3.457 5.986
angles: 90.00 109.45 90.00
Space group P2/m (No. 10)
Asymmetric unit:
1 Tb 0.000 0.000 0.000 (multiplicity 1)
2 Ho 0.500 0.000 0.500 (multiplicity 1)
3 Ho 0.500 0.500 0.000 (multiplicity 1)
4 Er 0.000 0.500 0.500 (multiplicity 1)
5 N 0.250 0.000 0.748 (multiplicity 2)
6 N 0.252 0.500 0.252 (multiplicity 2)

## Properties
For the energy, the calculation gives -8.188 eV/atom. The calculation puts the density of states at the Fermi level at 0.2 states/eV/f.u. The crystal system is monoclinic. The formation energy (no corrections) comes out at -13.9 eV/f.u.